Computed, not measured: a relaxed structure of K2NaAs2 at the PBE level of DFT.

abc: 4.9531 4.9531 7.6960
angles: 71.23 71.23 90.00
Closest atoms and distances in Å follow each position.
Atoms (fractional coordinates):
Na (0.0000, 0.0000, 0.0000)  8 As 3.70
As (0.4130, 0.4130, 0.1740)  1 As 2.39
As (0.5870, 0.5870, 0.8260)  1 As 2.39
K (0.7500, 0.2500, 0.5000)  4 As 3.34, 4 K 3.50
K (0.2500, 0.7500, 0.5000)  4 As 3.34, 4 K 3.50

The energy relative to the elements comes out at -148.5 meV per atom. The calculation puts the density of states at the Fermi level at 4.65 states/eV/cell. The value obtained for the offset from the most stable computed form is 220 meV per atom. Its space group is I4/mmm (139).

=====

Computed, not measured: a relaxed structure of Rb2NaMn at the PBE level of DFT.

abc: 6.5884 6.5884 6.5884
angles: 60.00 60.00 60.00
Closest atoms and distances in Å follow each position.
Atoms (fractional coordinates):
Na (0.0000, 0.0000, 0.0000)  8 Rb 4.03
Mn (0.5000, 0.5000, 0.5000)  8 Rb 4.03
Rb (0.2500, 0.2500, 0.2500)  4 Mn 4.03, 4 Na 4.03
Rb (0.7500, 0.7500, 0.7500)  4 Mn 4.03, 4 Na 4.03

The energy relative to the elements comes out at 657.7 meV per atom. The calculation puts the density of states at the Fermi level at 6.02 states/eV/cell. Its space group is Fm-3m (225).

=====

Computed, not measured: a relaxed structure of TlGaAu2 at the PBE level of DFT.

abc: 3.6382 4.8509 4.8509
angles: 90.00 90.00 90.00
Closest atoms and distances in Å follow each position.
Atoms (fractional coordinates):
Tl (0.5000, 0.5000, 0.5000)  8 Au 3.03
Au (0.0000, 0.0000, 0.5000)  4 Tl 3.03, 4 Ga 3.03
Au (0.0000, 0.5000, 0.0000)  4 Tl 3.03, 4 Ga 3.03
Ga (0.5000, 0.0000, 0.0000)  8 Au 3.03

The energy relative to the elements comes out at 48.9 meV per atom. The calculation puts the density of states at the Fermi level at 0.68 states/eV/cell. Its space group is P4/mmm (123).

=====

Computed, not measured: a relaxed structure of Zr2FeW at the PBE level of DFT.

abc: 4.5326 3.0174 5.3632
angles: 78.07 90.00 90.00
Closest atoms and distances in Å follow each position.
Atoms (fractional coordinates):
Fe (0.0000, 0.5225, 0.5111)  4 Zr 2.69-2.91, 2 W 2.70
W (0.5000, 0.7166, 0.7412)  2 Fe 2.70, 4 Zr 2.74-2.87, 2 W 3.02
Zr (0.0000, 0.9889, 0.9799)  2 Fe 2.69-2.91, 2 W 2.81, 2 Zr 2.97
Zr (0.5000, 0.2721, 0.2678)  2 W 2.74-2.87, 2 Fe 2.80, 4 Zr 2.97-3.02

The energy relative to the elements comes out at 224.3 meV per atom. The calculation puts the density of states at the Fermi level at 4.78 states/eV/cell. The value obtained for the offset from the most stable computed form is 180 meV per atom. Its space group is Pm (6).

=====

Computed, not measured: a relaxed structure of Al4FeNi5 at the PBE level of DFT.

abc: 2.8707 2.8707 14.5551
angles: 90.00 90.00 90.00
Closest atoms and distances in Å follow each position.
Atoms (fractional coordinates):
Al (0.0000, 0.0000, 0.1989)  8 Ni 2.49-2.51
Al (0.0000, 0.0000, 0.4000)  8 Ni 2.50
Al (0.0000, 0.0000, 0.6000)  8 Ni 2.50
Al (0.0000, 0.0000, 0.8011)  8 Ni 2.49-2.51
Fe (0.0000, 0.0000, 0.0000)  8 Ni 2.50
Ni (0.5000, 0.5000, 0.1000)  4 Al 2.49, 4 Fe 2.50
Ni (0.5000, 0.5000, 0.3000)  8 Al 2.50-2.51
Ni (0.5000, 0.5000, 0.5000)  8 Al 2.50
Ni (0.5000, 0.5000, 0.7000)  8 Al 2.50-2.51
Ni (0.5000, 0.5000, 0.9000)  4 Al 2.49, 4 Fe 2.50

The energy relative to the elements comes out at -506.6 meV per atom. The calculation puts the density of states at the Fermi level at 8.22 states/eV/cell. Its space group is P4/mmm (123).

=====

Computed, not measured: a relaxed structure of Np2U4Tc3 at the PBE level of DFT.

abc: 5.4755 7.5687 9.0053
angles: 83.25 72.89 103.12
Closest atoms and distances in Å follow each position.
Atoms (fractional coordinates):
Np (0.5196, 0.8659, 0.5800)  1 Np 2.44, 2 U 2.62-2.64
Np (0.9808, 0.3925, 0.1160)  1 Np 2.42, 2 U 2.57-2.59
Np (0.4804, 0.1341, 0.4200)  1 Np 2.44, 2 U 2.62-2.64
Np (0.0192, 0.6075, 0.8840)  1 Np 2.42, 2 U 2.57-2.59
U (0.4485, 0.0565, 0.8097)  1 Np 2.64, 1 U 2.66, 2 Tc 2.67-2.75
U (0.0260, 0.1842, 0.9061)  1 Np 2.59, 2 Tc 2.64-2.78, 1 U 2.66
U (0.5515, 0.9435, 0.1903)  1 Np 2.64, 1 U 2.66, 2 Tc 2.67-2.75
U (0.9740, 0.8158, 0.0939)  1 Np 2.59, 2 Tc 2.64-2.78, 1 U 2.66
U (0.1022, 0.7108, 0.5075)  1 Np 2.62, 2 Tc 2.71-2.74, 1 U 2.75
U (0.3388, 0.4945, 0.2443)  1 Np 2.57, 3 Tc 2.69-2.87, 1 U 2.75
U (0.8978, 0.2892, 0.4925)  1 Np 2.62, 2 Tc 2.71-2.74, 1 U 2.75
U (0.6612, 0.5055, 0.7557)  1 Np 2.57, 3 Tc 2.69-2.87, 1 U 2.75
Tc (0.9821, 0.9666, 0.6816)  3 U 2.71-3.01, 1 Tc 2.87, 2 Np 2.91-2.92
Tc (0.4673, 0.2448, 0.0512)  4 U 2.67-2.87, 1 Tc 2.87
Tc (0.0179, 0.0334, 0.3184)  3 U 2.71-3.01, 1 Tc 2.87, 2 Np 2.91-2.92
Tc (0.5327, 0.7552, 0.9488)  4 U 2.67-2.87, 1 Tc 2.87
Tc (0.2961, 0.3849, 0.6191)  3 U 2.64-2.74, 1 Tc 2.68, 1 Np 2.91
Tc (0.7039, 0.6151, 0.3809)  3 U 2.64-2.74, 1 Tc 2.68, 1 Np 2.91

The energy relative to the elements comes out at 46.5 meV per atom. The calculation puts the density of states at the Fermi level at 41.25 states/eV/cell. Its space group is P-1 (2).

=====

Computed, not measured: a relaxed structure of SmErGa2 at the PBE level of DFT.

abc: 3.5975 3.5975 7.1653
angles: 90.00 90.00 90.00
Closest atoms and distances in Å follow each position.
Atoms (fractional coordinates):
Ga (0.0000, 0.0000, 0.7627)  4 Er 3.06, 4 Sm 3.16, 1 Ga 3.40
Ga (0.0000, 0.0000, 0.2373)  4 Er 3.06, 4 Sm 3.16, 1 Ga 3.40
Sm (0.5000, 0.5000, 0.5000)  8 Ga 3.16
Er (0.5000, 0.5000, 0.0000)  8 Ga 3.06

The energy relative to the elements comes out at -579.8 meV per atom. The calculation puts the density of states at the Fermi level at 1.65 states/eV/cell. The value obtained for the offset from the most stable computed form is 34 meV per atom. Its space group is P4/mmm (123).

=====

Computed, not measured: a relaxed structure of La4DyP5 at the PBE level of DFT.

abc: 5.9808 7.3164 7.3164
angles: 80.38 65.87 65.87
Closest atoms and distances in Å follow each position.
Atoms (fractional coordinates):
La (0.4024, 0.3976, 0.7996)  6 P 2.97-3.05
La (0.8000, 0.7996, 0.6024)  6 P 2.97-3.05
La (0.2020, 0.2004, 0.3976)  6 P 2.97-3.05
La (0.5996, 0.6024, 0.2004)  6 P 2.97-3.05
Dy (0.0010, 0.0000, 0.0000)  6 P 2.91-2.99
P (0.9038, 0.3897, 0.8048)  1 Dy 2.91, 5 La 2.99-3.05
P (0.2934, 0.8048, 0.6103)  1 Dy 2.91, 5 La 2.99-3.05
P (0.7086, 0.1952, 0.3897)  1 Dy 2.91, 5 La 2.99-3.05
P (0.0982, 0.6103, 0.1952)  1 Dy 2.91, 5 La 2.99-3.05
P (0.5013, 0.0000, 0.0000)  4 La 2.97, 2 Dy 2.99

The energy relative to the elements comes out at -1566.8 meV per atom. The calculation puts the density of states at the Fermi level at 1.23 states/eV/cell. Its space group is I4/m (87).